Density functional theory data (PBE) for crystalline CuHgTe at its relaxed geometry.

- D(E_F): 1.07 states/eV/f.u.
- Relative energy among the computed polymorphs: 68 meV per atom
- Calculated density: 8.0 g/cm3
- Energy relative to the elements, uncorrected: 24 kJ/mol of formula units

CIF file:
```
data_CuHgTe
_chemical_formula_sum 'Cu8 Hg8 Te8'
_symmetry_space_group_name_H-M 'C m c e'
_symmetry_Int_Tables_number 64
_symmetry_space_group_name_Hall '-C 2ac 2'
_cell_length_a 9.2740
_cell_length_b 7.8529
_cell_length_c 8.9569
_cell_angle_alpha 90.00
_cell_angle_beta 90.00
_cell_angle_gamma 90.00
loop_
_atom_site_label
_atom_site_type_symbol
_atom_site_fract_x
_atom_site_fract_y
_atom_site_fract_z
_atom_site_occupancy
Cu1 Cu 0.0000 0.0609 0.1248 1
Hg1 Hg 0.2323 0.0000 0.5000 1
Te1 Te 0.0000 0.2233 0.3719 1
```